(w)
Material: Er2Tm4In
Method: DFT, PBE
State: relaxed

```
14
Lattice="0.000 10.801 3.872 5.039 0.000 3.872 5.039 10.801 0.000" Properties=species:S:1:pos:R:3 pbc="T T T"
Er 5.400 5.130 3.872
Er 7.198 10.531 5.807
Er 4.678 16.473 3.872
Er 2.881 11.072 5.807
Tm 7.167 7.926 3.162
Tm 9.978 12.548 4.475
Tm 2.419 3.654 2.540
Tm 2.620 7.147 2.540
Tm 4.648 8.276 5.097
Tm 5.431 13.327 5.097
Tm 2.911 13.676 3.162
Tm 5.139 19.857 4.475
In 5.039 10.801 3.276
In 7.559 16.202 5.211
```

## Properties
* calculated density: 8.87 g cm⁻³
* symmetry: Fdd2 (43)
* DOS(E_F): 19.8 states/eV/cell



(x)
Material: Er2Tm4In
Method: DFT, PBE
State: relaxed

```
7
Lattice="2.346 1.355 12.498 -2.346 1.355 12.498 0.000 -2.709 12.498" Properties=species:S:1:pos:R:3 pbc="T T T"
Er 0.000 0.000 7.228
Er 0.000 0.000 30.265
Tm 0.000 0.000 3.328
Tm 0.000 0.000 11.161
Tm 0.000 0.000 26.332
Tm 0.000 0.000 34.165
In 0.000 0.000 0.000
```

## Properties
* calculated density: 7.84 g cm⁻³
* symmetry: R-3m (166)
* DOS(E_F): 11.4 states/eV/cell



Most stable structure, least stable structure: (w), (x).



(w)
Material: Er4Tm5In
Method: DFT, PBE
State: relaxed

```
10
Lattice="3.500 0.000 0.000 0.000 3.500 0.000 0.000 0.000 24.070" Properties=species:S:1:pos:R:3 pbc="T T T"
Er 0.000 0.000 2.483
Er 0.000 0.000 7.449
Er 0.000 0.000 16.621
Er 0.000 0.000 21.587
Tm 1.750 1.750 0.000
Tm 1.750 1.750 4.960
Tm 1.750 1.750 9.921
Tm 1.750 1.750 14.149
Tm 1.750 1.750 19.110
In 0.000 0.000 12.035
```

## Properties
* calculated density: 9.17 g cm⁻³
* symmetry: P4/mmm (123)
* DOS(E_F): 12.9 states/eV/cell



(x)
Material: Er4Tm5In
Method: DFT, PBE
State: relaxed

```
10
Lattice="-5.230 5.230 2.852 5.230 -5.230 2.852 5.230 5.230 -2.852" Properties=species:S:1:pos:R:3 pbc="T T T"
Er 3.314 0.000 0.000
Er 7.147 0.000 0.000
Er 0.000 3.314 0.000
Er 0.000 7.147 0.000
Tm 0.000 0.000 1.217
Tm 3.289 3.289 -0.003
Tm 1.941 -1.941 2.849
Tm -1.941 1.941 2.849
Tm 1.941 1.941 2.849
In 0.000 0.000 4.168
```

## Properties
* calculated density: 8.66 g cm⁻³
* symmetry: I4mm (107)
* DOS(E_F): 13.5 states/eV/cell



Most stable structure, least stable structure: (w), (x).



(w)
Material: Er2TmIn2
Method: DFT, PBE
State: relaxed

```
10
Lattice="3.701 0.000 0.000 0.000 5.293 0.000 -1.854 0.000 13.727" Properties=species:S:1:pos:R:3 pbc="T T T"
Er -0.001 1.323 1.299
Er -0.002 1.323 6.516
Er 1.849 3.969 7.211
Er 1.848 3.969 12.428
Tm -0.003 3.969 4.134
Tm 1.850 1.323 9.593
In -0.001 3.969 9.799
In -0.004 1.323 12.323
In 1.851 3.969 1.404
In 1.848 1.323 3.928
```

## Properties
* calculated density: 9.05 g cm⁻³
* symmetry: P2_1/m (11)
* DOS(E_F): 7.2 states/eV/cell



(x)
Material: Er2TmIn2
Method: DFT, PBE
State: relaxed

```
10
Lattice="2.647 -7.959 0.000 2.647 7.959 0.000 0.000 0.000 6.448" Properties=species:S:1:pos:R:3 pbc="T T T"
Er 2.647 7.566 3.224
Er 2.647 4.839 6.064
Er 2.647 -4.839 2.840
Er 2.647 -7.566 0.000
Tm 2.647 1.580 4.560
Tm 2.647 -1.580 1.336
In 2.647 4.560 2.771
In 2.647 1.587 1.430
In 2.647 -1.587 4.654
In 2.647 -4.560 5.995
```

## Properties
* calculated density: 8.96 g cm⁻³
* symmetry: Cmc2_1 (36)
* DOS(E_F): 9.8 states/eV/cell



Most stable structure, least stable structure: (w), (x).